Record 1
Zr2MnHRh PBE-GGA relaxed; space group = P4/mmm; E above lowest polymorph = 0.0000 eV/atom
1.0
-1.745 3.732 1.926
-2.202 0.963 -3.861
-2.696 -1.820 1.083
H Mn Rh Zr
1 1 1 2
Direct
0.000 0.000 0.000
0.000 0.000 0.500
0.500 0.500 0.500
0.000 0.500 0.000
0.500 0.000 0.000

=====

Record 2
ZrMnHRh2 PBE-GGA relaxed; space group = P4/mmm; E above lowest polymorph = 0.0000 eV/atom
1.0
4.096 0.000 0.000
0.000 4.096 0.000
0.000 0.000 3.854
H Mn Rh Zr
1 1 2 1
Direct
0.000 0.000 0.000
0.000 0.000 0.500
0.000 0.500 0.000
0.500 0.000 0.000
0.500 0.500 0.500

=====

Record 3
Zr2MnHRh PBE-GGA relaxed; space group = P4/mmm; E above lowest polymorph = 0.1026 eV/atom
1.0
-0.127 4.461 0.792
-1.747 0.683 -4.126
-3.237 -0.326 1.317
H Mn Rh Zr
1 1 1 2
Direct
0.000 0.000 0.000
0.500 0.500 0.500
0.000 0.000 0.500
0.000 0.500 0.000
0.500 0.000 0.000

=====

Record 4
ZrMn2HRh PBE-GGA relaxed; space group = P4/mmm; E above lowest polymorph = 0.0000 eV/atom
1.0
3.816 0.000 0.000
0.000 3.816 0.000
0.000 0.000 4.388
H Mn Rh Zr
1 2 1 1
Direct
0.000 0.000 0.000
0.000 0.500 0.000
0.500 0.000 0.000
0.500 0.500 0.500
0.000 0.000 0.500

=====

Record 5
MnHRu3 PBE-GGA relaxed; space group = Pm-3m; E above lowest polymorph = 0.0049 eV/atom
1.0
3.847 0.000 0.000
0.000 3.847 0.000
0.000 0.000 3.847
Ru Mn H
3 1 1
Direct
0.000 0.500 0.000
0.000 0.000 0.500
0.500 0.000 0.000
0.500 0.500 0.500
0.000 0.000 0.000

=====

Record 6
Mn2HRu PBE-GGA relaxed; space group = R3m; E above lowest polymorph = 0.0000 eV/atom
1.0
2.639 0.000 0.000
1.319 2.285 0.000
1.319 0.762 6.262
Mn H Ru
2 1 1
Direct
0.057 0.057 0.830
0.277 0.277 0.168
0.668 0.668 0.997
0.498 0.498 0.505

=====

Record 7
Mn3HRu PBE-GGA relaxed; space group = Pmma; E above lowest polymorph = 0.0000 eV/atom
1.0
3.720 0.000 0.000
0.000 3.692 0.000
0.000 0.000 7.371
Mn H Ru
6 2 2
Direct
0.550 0.634 0.738
0.550 0.134 0.985
0.550 0.634 0.233
0.550 0.134 0.480
0.050 0.134 0.736
0.050 0.634 0.482
0.550 0.634 0.487
0.550 0.134 0.731
0.050 0.634 0.978
0.050 0.134 0.240

=====

Record 8
MnH4Ru PBE-GGA relaxed; space group = Fddd; calculated total energy = -63.06 eV per cell
1.0
3.919 0.163 -1.701
-0.907 3.816 -1.701
-0.032 -0.041 5.284
Mn H Ru
2 8 2
Direct
0.375 0.625 0.250
0.625 0.375 0.750
0.000 0.245 0.999
0.500 0.754 0.999
0.246 0.500 0.501
0.754 0.500 0.499
0.245 0.000 0.499
0.500 0.246 0.001
0.755 0.000 0.501
0.000 0.755 0.001
0.125 0.875 0.750
0.875 0.125 0.250

=====

Record 9
Mn2HRu PBE-GGA relaxed; space group = Fm-3m; E above lowest polymorph = 0.7697 eV/atom
1.0
-1.141 -2.279 3.015
-3.583 -1.658 -0.025
-0.368 -3.899 -0.502
Ru Mn H
1 2 1
Direct
0.500 0.500 0.500
0.250 0.250 0.250
0.750 0.750 0.750
0.000 0.000 0.000

=====

Record 10
MnH2Ru PBE-GGA relaxed; space group = I-42d; E above lowest polymorph = 0.1394 eV/atom
1.0
-2.351 3.105 -0.727
-3.062 -2.451 -0.565
-3.602 0.555 3.222
Ru Mn H
2 2 4
Direct
0.000 0.000 0.000
0.750 0.250 0.500
0.500 0.500 0.000
0.250 0.750 0.500
0.600 0.125 0.250
0.150 0.625 0.250
0.375 0.400 0.750
0.875 0.850 0.750

=====

Record 11
Mn2HRu PBE-GGA relaxed; space group = R-3m; E above lowest polymorph = 0.4023 eV/atom
1.0
2.645 0.000 0.000
1.322 2.290 0.000
1.322 0.763 7.427
Ru Mn H
1 2 1
Direct
0.500 0.500 0.500
0.072 0.072 0.784
0.928 0.928 0.216
0.000 0.000 0.000

=====

Record 12
MnH2Ru PBE-GGA relaxed; space group = R3m; E above lowest polymorph = 0.1047 eV/atom
1.0
2.720 0.000 0.000
1.360 2.355 0.000
1.360 0.785 4.740
Mn H Ru
1 2 1
Direct
0.673 0.673 0.981
0.068 0.068 0.796
0.268 0.268 0.195
0.491 0.491 0.528

=====

Please write out number 3 again, unchanged.
Zr2MnHRh PBE-GGA relaxed; space group = P4/mmm; E above lowest polymorph = 0.1026 eV/atom
1.0
-0.127 4.461 0.792
-1.747 0.683 -4.126
-3.237 -0.326 1.317
H Mn Rh Zr
1 1 1 2
Direct
0.000 0.000 0.000
0.500 0.500 0.500
0.000 0.000 0.500
0.000 0.500 0.000
0.500 0.000 0.000